Material: Pm2MgIr
Method: DFT, PBE
State: optimized geometry

Structure (CIF):
```
data_Pm2MgIr
_cell_length_a 3.639
_cell_length_b 3.639
_cell_length_c 7.745
_cell_angle_alpha 90.00
_cell_angle_beta 90.00
_cell_angle_gamma 90.00
_space_group_name_H-M_alt 'P 4/m m m'
_space_group_IT_number 123
_space_group_name_Hall '-P 4 2'
loop_
_atom_site_label
_atom_site_fract_x
_atom_site_fract_y
_atom_site_fract_z
Pm1 0.000 0.000 0.212
Mg1 0.500 0.500 0.500
Ir1 0.500 0.500 0.000
```

Results
ΔH_f (0 K) = -0.384 eV per atom
Total moment = 0.000 μB/f.u.
Crystal system = tetragonal

***

Material: Dy3Y2Ho6Er
Method: DFT, PBE
State: optimized geometry

Structure (CIF):
```
data_Dy3Y2Ho6Er
_cell_length_a 6.126
_cell_length_b 10.597
_cell_length_c 11.716
_cell_angle_alpha 90.00
_cell_angle_beta 99.98
_cell_angle_gamma 90.00
_space_group_name_H-M_alt 'C 1 2/m 1'
_space_group_IT_number 12
loop_
_space_group_symop_operation_xyz
'x,y,z'
'-x,-y,-z'
'-x,y,-z'
'x,-y,z'
'x+1/2,y+1/2,z'
'-x+1/2,-y+1/2,-z'
'-x+1/2,y+1/2,-z'
'x+1/2,-y+1/2,z'
loop_
_atom_site_label
_atom_site_fract_x
_atom_site_fract_y
_atom_site_fract_z
Dy1 0.000 0.000 0.000
Dy2 0.000 0.333 0.000
Y1 0.000 0.167 0.500
Ho1 0.249 0.500 0.250
Ho2 0.250 0.166 0.250
Er1 0.000 0.500 0.500
```

Results
ΔH_f (0 K) = 0.020 eV per atom
Total moment = 0.000 μB/f.u.
Crystal system = monoclinic

***

Material: LaSiHgBr2
Method: DFT, PBE
State: optimized geometry

Structure (CIF):
```
data_LaSiHgBr2
_cell_length_a 5.347
_cell_length_b 5.347
_cell_length_c 6.346
_cell_angle_alpha 90.00
_cell_angle_beta 90.00
_cell_angle_gamma 90.00
_space_group_name_H-M_alt 'P 4/m m m'
_space_group_IT_number 123
_space_group_name_Hall '-P 4 2'
loop_
_atom_site_label
_atom_site_fract_x
_atom_site_fract_y
_atom_site_fract_z
La1 0.000 0.000 0.000
Si1 0.500 0.500 0.000
Hg1 0.000 0.000 0.500
Br1 0.000 0.500 0.500
```

Results
E_form (uncorrected) = 339 meV/atom
Total moment = 0.001 μB/f.u.
Crystal system = tetragonal

***

Material: Li2TaHg
Method: DFT, PBE
State: optimized geometry

Structure (CIF):
```
data_Li2TaHg
_cell_length_a 2.799
_cell_length_b 4.368
_cell_length_c 5.937
_cell_angle_alpha 90.00
_cell_angle_beta 90.00
_cell_angle_gamma 90.00
_space_group_name_H-M_alt 'P m m 2'
_space_group_IT_number 25
loop_
_space_group_symop_operation_xyz
'x,y,z'
'-x,-y,z'
'-x,y,z'
'x,-y,z'
loop_
_atom_site_label
_atom_site_fract_x
_atom_site_fract_y
_atom_site_fract_z
Li1 0.000 0.000 0.000
Li2 0.500 0.500 0.228
Ta1 0.000 0.000 0.505
Hg1 0.500 0.500 0.736
```

Results
ΔH_f (0 K) = 0.291 eV per atom
Total moment = 0.000 μB/f.u.
Crystal system = orthorhombic

***

Material: ScHgIr2
Method: DFT, PBE
State: optimized geometry

Structure (CIF):
```
data_ScHgIr2
_cell_length_a 3.272
_cell_length_b 3.272
_cell_length_c 6.437
_cell_angle_alpha 90.00
_cell_angle_beta 90.00
_cell_angle_gamma 90.00
_space_group_name_H-M_alt 'P 4/m m m'
_space_group_IT_number 123
_space_group_name_Hall '-P 4 2'
loop_
_atom_site_label
_atom_site_fract_x
_atom_site_fract_y
_atom_site_fract_z
Sc1 0.000 0.000 0.000
Hg1 0.000 0.000 0.500
Ir1 0.500 0.500 0.237
```

Results
ΔH_f (0 K) = -0.233 eV per atom
Total moment = 0.000 μB/f.u.
Crystal system = tetragonal

***

Material: Pm3Sn4Hg2
Method: DFT, PBE
State: optimized geometry

Structure (CIF):
```
data_Pm3Sn4Hg2
_cell_length_a 16.637
_cell_length_b 4.707
_cell_length_c 6.959
_cell_angle_alpha 90.00
_cell_angle_beta 113.80
_cell_angle_gamma 90.00
_space_group_name_H-M_alt 'C 1 2/m 1'
_space_group_IT_number 12
loop_
_space_group_symop_operation_xyz
'x,y,z'
'-x,-y,-z'
'-x,y,-z'
'x,-y,z'
'x+1/2,y+1/2,z'
'-x+1/2,-y+1/2,-z'
'-x+1/2,y+1/2,-z'
'x+1/2,-y+1/2,z'
loop_
_atom_site_label
_atom_site_fract_x
_atom_site_fract_y
_atom_site_fract_z
Pm1 0.000 0.000 0.000
Pm2 0.130 0.000 0.645
Sn1 0.024 0.500 0.321
Sn2 0.220 0.000 0.283
Hg1 0.159 0.500 0.011
```

Results
ΔH_f (0 K) = -0.552 eV per atom
Total moment = 0.000 μB/f.u.
Crystal system = monoclinic

***

Material: Ru4C
Method: DFT, PBE
State: optimized geometry

Structure (CIF):
```
data_Ru4C
_cell_length_a 3.374
_cell_length_b 3.374
_cell_length_c 12.840
_cell_angle_alpha 90.00
_cell_angle_beta 90.00
_cell_angle_gamma 90.00
_space_group_name_H-M_alt 'I 4/m m m'
_space_group_IT_number 139
_space_group_name_Hall '-I 4 2'
loop_
_atom_site_label
_atom_site_fract_x
_atom_site_fract_y
_atom_site_fract_z
Ru1 0.000 0.000 0.094
Ru2 0.000 0.500 0.250
C1 0.000 0.000 0.500
```

Results
ΔH_f (0 K) = 1.538 eV per atom
Total moment = 0.000 μB/f.u.
Crystal system = tetragonal

***

Material: Sr3SbN3
Method: DFT, PBE
State: optimized geometry

Structure (CIF):
```
data_Sr3SbN3
_cell_length_a 8.0122
_cell_length_b 8.0122
_cell_length_c 5.3222
_cell_angle_alpha 90.00
_cell_angle_beta 90.00
_cell_angle_gamma 120.00
_space_group_name_H-M_alt 'P 63/m'
_space_group_IT_number 176
_space_group_name_Hall '-P 6c'
loop_
_atom_site_label
_atom_site_fract_x
_atom_site_fract_y
_atom_site_fract_z
Sr1 0.0997 0.3585 0.2500
Sb1 0.3333 0.6667 0.7500
N1 0.1055 0.3797 0.7500
```

Results
E_form (uncorrected) = -411 meV/atom
Total moment = 0.000 μB/f.u.
Crystal system = hexagonal

***

Material: NaMgTe
Method: DFT, PBE
State: optimized geometry

Structure (CIF):
```
data_NaMgTe
_cell_length_a 4.474
_cell_length_b 4.474
_cell_length_c 8.517
_cell_angle_alpha 90.00
_cell_angle_beta 90.00
_cell_angle_gamma 90.00
_space_group_name_H-M_alt 'P 4/n m m'
_space_group_IT_number 129
loop_
_space_group_symop_operation_xyz
'x,y,z'
'-x,-y,-z'
'-y+1/2,x,z'
'y+1/2,-x,-z'
'-x+1/2,-y+1/2,z'
'x+1/2,y+1/2,-z'
'y,-x+1/2,z'
'-y,x+1/2,-z'
'x+1/2,-y,-z'
'-x+1/2,y,z'
'-y,-x,-z'
'y,x,z'
'-x,y+1/2,-z'
'x,-y+1/2,z'
'y+1/2,x+1/2,-z'
'-y+1/2,-x+1/2,z'
loop_
_atom_site_label
_atom_site_fract_x
_atom_site_fract_y
_atom_site_fract_z
Na1 0.250 0.250 0.139
Mg1 0.250 0.750 0.500
Te1 0.250 0.250 0.755
```

Results
E_form (uncorrected) = -458 meV/atom
Total moment = 0.439 μB/f.u.
Crystal system = tetragonal

***

Material: Dy2HoEr3Bi6
Method: DFT, PBE
State: optimized geometry

Structure (CIF):
```
data_Dy2HoEr3Bi6
_cell_length_a 19.414
_cell_length_b 4.454
_cell_length_c 8.911
_cell_angle_alpha 90.00
_cell_angle_beta 103.19
_cell_angle_gamma 90.00
_space_group_name_H-M_alt 'C 1 2/m 1'
_space_group_IT_number 12
loop_
_space_group_symop_operation_xyz
'x,y,z'
'-x,-y,-z'
'-x,y,-z'
'x,-y,z'
'x+1/2,y+1/2,z'
'-x+1/2,-y+1/2,-z'
'-x+1/2,y+1/2,-z'
'x+1/2,-y+1/2,z'
loop_
_atom_site_label
_atom_site_fract_x
_atom_site_fract_y
_atom_site_fract_z
Dy1 0.167 0.000 0.333
Ho1 0.000 0.500 0.000
Er1 0.000 0.500 0.500
Er2 0.167 0.000 0.833
Bi1 0.001 0.000 0.750
Bi2 0.166 0.500 0.584
Bi3 0.167 0.500 0.082
```

Results
ΔH_f (0 K) = -0.832 eV per atom
Total moment = 0.001 μB/f.u.
Crystal system = monoclinic

***

Material: Tb4PS3
Method: DFT, PBE
State: optimized geometry

Structure (CIF):
```
data_Tb4PS3
_cell_length_a 5.586
_cell_length_b 5.586
_cell_length_c 5.586
_cell_angle_alpha 90.00
_cell_angle_beta 90.00
_cell_angle_gamma 90.00
_space_group_name_H-M_alt 'P m -3 m'
_space_group_IT_number 221
_space_group_name_Hall '-P 4 2 3'
loop_
_atom_site_label
_atom_site_fract_x
_atom_site_fract_y
_atom_site_fract_z
Tb1 0.000 0.000 0.000
Tb2 0.000 0.500 0.500
P1 0.500 0.500 0.500
S1 0.000 0.000 0.500
```

Results
E_form (uncorrected) = -1960 meV/atom
Total moment = 0.000 μB/f.u.
Crystal system = cubic

***

Material: CsLiTl6
Method: DFT, PBE
State: optimized geometry

Structure (CIF):
```
data_CsLiTl6
_cell_length_a 5.3292
_cell_length_b 5.3292
_cell_length_c 33.8559
_cell_angle_alpha 90.00
_cell_angle_beta 90.00
_cell_angle_gamma 120.00
_space_group_name_H-M_alt 'R -3 m'
_space_group_IT_number 166
_space_group_name_Hall '-R 3 2"'
loop_
_atom_site_label
_atom_site_fract_x
_atom_site_fract_y
_atom_site_fract_z
Cs1 0.0000 0.0000 0.0000
Li1 0.0000 0.0000 0.5000
Tl1 0.0000 0.0000 0.1387
Tl2 0.0000 0.0000 0.2385
Tl3 0.0000 0.0000 0.4086
```

Results
ΔH_f (0 K) = -0.079 eV per atom
Total moment = 0.000 μB/f.u.
Crystal system = trigonal